1 | DFT (GGA-PBE) results for BaMgIO2 after structural relaxation.

Results
**N(E_F)**: 7.037 states/eV/cell
**Symmetry**: No. 123
**Total moment**: 0.0 μB per formula unit

a = 4.526 Å, b = 4.526 Å, c = 5.425 Å
α = 90.00°, β = 90.00°, γ = 90.00°
Positions (direct):
Ba 0.500 0.500 0.500
O 0.500 0.000 0.000
O 0.000 0.500 0.000
Mg 0.000 0.000 0.000
I 0.000 0.000 0.500

***

2 | DFT (GGA-PBE) results for BaMgIO2 after structural relaxation.

Results
**N(E_F)**: 2.745 states/eV/cell
**Symmetry**: No. 123
**Total moment**: 0.0 μB per formula unit

a = 4.570 Å, b = 4.570 Å, c = 7.074 Å
α = 90.00°, β = 90.00°, γ = 90.00°
Positions (direct):
O 0.000 0.500 0.000
O 0.500 0.000 0.000
Mg 0.500 0.500 0.500
Ba 0.000 0.000 0.000
I 0.000 0.000 0.500

***

Name the least stable of them. 2.

***

1 | DFT (GGA-PBE) results for BaMgSbI2 after structural relaxation.

Results
**N(E_F)**: 4.192 states/eV/cell
**Symmetry**: No. 123
**Total moment**: 0.8 μB per formula unit

a = 5.786 Å, b = 5.786 Å, c = 5.683 Å
α = 90.00°, β = 90.00°, γ = 90.00°
Last column: magnetic moment on the atom in μB.
Positions (direct):
Ba 0.500 0.500 0.500  0.02
Mg 0.000 0.000 0.000  0.00
Sb 0.000 0.000 0.500  0.21
I 0.000 0.500 0.000  0.04
I 0.500 0.000 0.000  0.04

***

2 | DFT (GGA-PBE) results for BaMgSbI2 after structural relaxation.

Results
**N(E_F)**: 2.479 states/eV/cell
**Symmetry**: No. 123
**Total moment**: 1.9 μB per formula unit

a = 6.659 Å, b = 6.659 Å, c = 7.075 Å
α = 90.00°, β = 90.00°, γ = 90.00°
Last column: magnetic moment on the atom in μB.
Positions (direct):
Ba 0.000 0.000 0.000  0.02
Sb 0.000 0.000 0.500  0.74
I 0.000 0.500 0.000  0.03
I 0.500 0.000 0.000  0.03
Mg 0.500 0.500 0.500  -0.06

***

Name the least stable of them. 2.

***

1 | DFT (GGA-PBE) results for BaMgSb2I after structural relaxation.

Results
**N(E_F)**: 4.711 states/eV/cell
**Symmetry**: No. 123
**Total moment**: 1.7 μB per formula unit

a = 6.602 Å, b = 6.602 Å, c = 6.527 Å
α = 90.00°, β = 90.00°, γ = 90.00°
Last column: magnetic moment on the atom in μB.
Positions (direct):
Mg 0.500 0.500 0.500  -0.03
Sb 0.500 0.000 0.000  0.31
Sb 0.000 0.500 0.000  0.31
I 0.000 0.000 0.500  0.07
Ba 0.000 0.000 0.000  0.02

***

2 | DFT (GGA-PBE) results for BaMgSb2I after structural relaxation.

Results
**N(E_F)**: 5.528 states/eV/cell
**Symmetry**: No. 123
**Total moment**: 0.0 μB per formula unit

a = 5.416 Å, b = 5.416 Å, c = 6.189 Å
α = 90.00°, β = 90.00°, γ = 90.00°
Positions (direct):
Sb 0.000 0.500 0.000
Sb 0.500 0.000 0.000
I 0.000 0.000 0.500
Mg 0.000 0.000 0.000
Ba 0.500 0.500 0.500

***

Name the least stable of them. 1.

***

1 | DFT (GGA-PBE) results for BaMgTaI2 after structural relaxation.

Results
**N(E_F)**: 5.699 states/eV/cell
**Symmetry**: No. 123
**Total moment**: 3.0 μB per formula unit

a = 6.591 Å, b = 7.497 Å, c = 6.591 Å
α = 90.00°, β = 90.00°, γ = 90.00°
Last column: magnetic moment on the atom in μB.
Positions (direct):
I 0.500 0.000 0.000  0.00
I 0.000 0.000 0.500  0.00
Ta 0.500 0.500 0.500  2.08
Mg 0.000 0.500 0.000  0.00
Ba 0.000 0.000 0.000  0.00

***

2 | DFT (GGA-PBE) results for BaMgTaI2 after structural relaxation.

Results
**N(E_F)**: 4.804 states/eV/cell
**Symmetry**: No. 123
**Total moment**: 4.4 μB per formula unit

a = 5.744 Å, b = 5.698 Å, c = 5.744 Å
α = 90.00°, β = 90.00°, γ = 90.00°
Last column: magnetic moment on the atom in μB.
Positions (direct):
Ba 0.500 0.500 0.500  0.14
I 0.500 0.000 0.000  0.02
I 0.000 0.000 0.500  0.02
Mg 0.000 0.000 0.000  0.03
Ta 0.000 0.500 0.000  2.21

***

Name the least stable of them. 1.

***

1 | DFT (GGA-PBE) results for BaMnI3 after structural relaxation.

Results
**N(E_F)**: 0.000 states/eV/cell
**Symmetry**: No. 221
**Total moment**: 6.0 μB per formula unit

a = 6.710 Å, b = 6.710 Å, c = 6.710 Å
α = 90.00°, β = 90.00°, γ = 90.00°
Last column: magnetic moment on the atom in μB.
Positions (direct):
I 0.000 0.500 0.000  0.05
I 0.000 0.000 0.500  0.04
I 0.500 0.000 0.000  0.03
Mn 0.500 0.500 0.500  4.91
Ba 0.000 0.000 0.000  0.00

***

2 | DFT (GGA-PBE) results for BaMnI3 after structural relaxation.

Results
**N(E_F)**: 3.694 states/eV/cell
**Symmetry**: No. 221
**Total moment**: 4.3 μB per formula unit

a = 5.680 Å, b = 5.680 Å, c = 5.680 Å
α = 90.00°, β = 90.00°, γ = 90.00°
Last column: magnetic moment on the atom in μB.
Positions (direct):
I 0.500 0.000 0.000  0.04
I 0.000 0.000 0.500  0.03
I 0.000 0.500 0.000  0.04
Ba 0.500 0.500 0.500  -0.04
Mn 0.000 0.000 0.000  3.92

***

Name the least stable of them. 1.